Record 1
Here is crystalline La2GeTe at its relaxed geometry from the Alexandria database. Energies are from GGA-PBE.

```
La2GeTe
1.0
-0.3765 -3.4292 -2.8818
3.0242 -3.3253 0.0561
-3.2989 -5.9704 4.0296
Ge La Te
1 2 1
direct
0.0000 0.0000 0.0000
0.7418 0.7418 0.7746
0.2582 0.2582 0.2254
0.5000 0.5000 0.5000
```

Offset from the most stable computed form ... 0.0000 eV per atom
Size of the total moment ... 0.00 μB per formula unit
ρ ... 6.1 g/cm3
Formation energy from raw total energies ... -1.280 eV/atom
N(E_F) ... 0.31 states/eV per atom

=====

Record 2
Here is crystalline V2ReP2 at its relaxed geometry from the Alexandria database. Energies are from GGA-PBE.

```
V2ReP2
1.0
6.3977 0.0000 0.0000
0.0000 6.3977 0.0000
0.0000 0.0000 3.1529
V P Re
4 4 2
direct
0.3520 0.1480 0.5000
0.8520 0.3520 0.5000
0.1480 0.6480 0.5000
0.6480 0.8520 0.5000
0.6445 0.1445 0.0000
0.3555 0.8555 0.0000
0.1445 0.3555 0.0000
0.8555 0.6445 0.0000
0.0000 0.0000 0.0000
0.5000 0.5000 0.0000
```

Energy of formation ... -2.44 eV per formula unit
Size of the total moment ... 0.00 μB per formula unit
ρ ... 9.0 g/cm3
N(E_F) ... 0.68 states/eV per atom

=====

Record 3
Here is crystalline Na2Pd2PtAu5 at its relaxed geometry from the Alexandria database. Energies are from GGA-PBE.

```
Na2Pd2PtAu5
1.0
4.1606 0.0000 0.0000
0.0000 9.5384 0.0000
0.0000 0.0000 9.5384
Pd Au Na Pt
4 10 4 2
direct
0.0000 0.1273 0.6273
0.0000 0.3727 0.1273
0.0000 0.6273 0.8727
0.0000 0.8727 0.3727
0.5000 0.1987 0.0656
0.5000 0.6987 0.4344
0.5000 0.5000 0.0000
0.5000 0.8013 0.9344
0.5000 0.0656 0.8013
0.5000 0.9344 0.1987
0.5000 0.4344 0.3013
0.5000 0.3013 0.5656
0.5000 0.5656 0.6987
0.5000 0.0000 0.5000
0.0000 0.6720 0.1720
0.0000 0.3280 0.8280
0.0000 0.1720 0.3280
0.0000 0.8280 0.6720
0.0000 0.0000 0.0000
0.0000 0.5000 0.5000
```

Energy of formation ... -1.26 eV per formula unit
Size of the total moment ... 0.00 μB per formula unit
ρ ... 12.6 g/cm3
N(E_F) ... 0.30 states/eV per atom